Here is K3GdB6H24 after structural relaxation from OQMD. Energies are from PBE.

Values from the calculation:
The calculated total energy comes out at -4.13 eV/atom. Its space-group type is No. 14. Its spin magnetization is 0.0 μB per formula unit.

```
68
Lattice="7.462 0.000 0.000 0.000 7.977 0.000 -6.838 0.000 11.414" Properties=species:S:1:pos:R:3 pbc="T T T"
K 0.000 0.000 0.000
K -3.419 3.988 5.707
K -3.337 0.628 8.665
K 0.082 3.360 2.958
K 0.542 4.616 8.456
K 3.961 7.349 2.749
Gd 0.312 0.000 5.707
Gd 3.731 3.988 0.000
B -1.911 1.131 5.056
B -5.330 2.857 10.762
B -0.880 5.567 4.909
B -4.299 6.398 10.616
B 1.034 0.342 2.873
B -2.385 3.646 8.580
B 3.009 4.330 2.834
B -0.410 7.635 8.541
B 4.923 1.579 0.798
B 1.504 2.410 6.505
B 5.954 5.120 0.651
B 2.535 6.845 6.358
H -0.438 5.562 1.002
H -3.857 6.403 6.709
H -1.703 5.544 4.008
H -5.122 6.420 9.715
H -1.575 0.198 4.332
H -4.994 3.791 10.039
H -0.156 0.402 2.622
H -3.574 3.586 8.329
H -1.940 0.699 6.210
H 1.479 3.290 0.504
H -1.001 1.964 5.013
H -4.420 2.024 10.720
H 2.108 5.702 0.121
H -1.311 6.263 5.828
H -0.666 4.453 5.362
H -4.085 7.511 11.069
H -3.241 5.960 10.164
H 0.178 6.004 4.457
H 1.701 0.886 2.006
H -1.718 3.102 7.713
H -2.062 4.810 8.745
H 1.357 7.155 3.038
H 1.271 1.009 3.887
H -2.148 2.979 9.594
H 2.772 4.997 1.819
H -0.647 6.968 7.526
H -0.733 0.821 8.376
H 2.686 3.167 2.669
H 2.342 4.874 3.701
H -1.077 7.090 9.407
H 0.446 1.972 6.957
H 3.865 2.016 1.250
H 4.709 0.465 0.345
H 1.290 3.523 6.052
H 1.935 1.714 5.585
H -1.484 2.274 11.292
H 5.044 5.952 0.694
H 1.625 6.012 6.401
H -0.855 4.687 10.910
H 2.564 7.278 5.203
H 4.198 4.390 3.085
H 0.779 7.575 8.792
H 5.618 4.186 1.375
H 2.199 7.779 7.082
H 5.746 1.556 1.699
H 2.327 2.432 7.406
H 4.481 1.574 4.705
H 1.062 2.414 10.412
```

=====

Here is KGdB4H16 after structural relaxation from OQMD. Energies are from PBE.

Values from the calculation:
The calculated total energy comes out at -4.24 eV/atom. Its space-group type is No. 14. Its spin magnetization is 0.0 μB per formula unit.

```
44
Lattice="7.905 0.000 0.000 0.000 7.031 0.000 -1.974 0.000 7.450" Properties=species:S:1:pos:R:3 pbc="T T T"
K 0.000 0.000 0.000
K -0.987 3.515 3.725
Gd 2.966 0.000 3.725
Gd 3.953 3.515 0.000
B 0.830 1.022 2.894
B -0.158 2.493 6.619
B 2.233 4.775 2.251
B 1.246 5.771 5.976
B 4.685 1.259 1.475
B 3.698 2.256 5.200
B 6.089 4.538 0.831
B 5.101 6.008 4.556
H -0.173 1.497 2.420
H -1.160 2.019 6.145
H -0.310 3.699 6.841
H 0.677 6.847 3.115
H 1.160 4.519 1.756
H 0.173 6.027 5.482
H 1.168 1.539 3.960
H 2.156 1.976 0.234
H 1.774 1.152 2.111
H 0.787 2.363 5.836
H 2.148 4.847 3.478
H 1.161 5.699 7.203
H 1.682 4.717 5.501
H 2.669 5.829 1.776
H 3.070 3.885 2.082
H 2.083 6.660 5.807
H 3.848 0.370 1.643
H 2.861 3.145 5.368
H 3.262 1.202 5.675
H 4.249 2.313 1.950
H 4.770 1.332 0.248
H 3.783 2.183 3.973
H 5.144 4.667 1.614
H 4.157 5.879 5.339
H 3.776 5.054 7.216
H 4.763 5.492 3.491
H 5.758 1.003 1.969
H 4.771 2.512 5.694
H 5.254 0.184 4.335
H 6.241 3.332 0.610
H 7.091 5.012 1.305
H 6.104 5.534 5.030
```

=====

Here is GdBH8SO10 after structural relaxation from OQMD. Energies are from PBE.

Values from the calculation:
The calculated total energy comes out at -5.98 eV/atom. Its space-group type is No. 11. Its spin magnetization is 0.0 μB per formula unit.

```
42
Lattice="6.047 0.000 0.000 0.000 9.122 0.000 -0.355 0.000 6.605" Properties=species:S:1:pos:R:3 pbc="T T T"
Gd 1.003 2.281 1.778
Gd 4.689 6.842 4.827
B 1.684 6.842 4.919
B 4.008 2.281 1.686
H -0.078 0.435 4.748
H -0.078 4.127 4.748
H 0.707 5.125 0.618
H 0.707 8.559 0.618
H 1.233 6.842 2.924
H 1.637 6.842 0.298
H 2.280 4.880 4.558
H 2.280 8.804 4.558
H 3.412 0.319 2.047
H 3.412 4.243 2.047
H 4.055 2.281 6.307
H 4.459 2.281 3.681
H 4.985 0.564 5.988
H 4.985 3.997 5.988
H 5.770 4.996 1.857
H 5.770 8.688 1.857
S 1.767 2.281 4.804
S 3.925 6.842 1.801
O 0.501 4.581 1.406
O 0.501 9.103 1.406
O 0.753 6.842 3.784
O 0.749 6.842 6.063
O 1.065 2.281 6.089
O 1.334 1.089 3.993
O 1.334 3.472 3.993
O 2.465 6.842 1.654
O 2.626 5.713 4.946
O 2.626 7.971 4.946
O 3.066 1.152 1.659
O 3.066 3.409 1.659
O 3.227 2.281 4.951
O 4.358 5.651 2.613
O 4.358 8.033 2.613
O 4.627 6.842 0.517
O 4.943 2.281 0.542
O 4.939 2.281 2.821
O 5.191 0.020 5.200
O 5.191 4.541 5.200
```

=====

Here is GdHgB4 after structural relaxation from OQMD. Energies are from PBE.

Values from the calculation:
The calculated total energy comes out at -5.03 eV/atom. Its space-group type is No. 191. Its spin magnetization is 0.0 μB per formula unit. The energy above the lowest structure with this stoichiometry comes out at 1.355 eV per formula unit.

```
6
Lattice="3.226 0.000 0.000 -1.613 2.794 0.000 0.000 0.000 7.969" Properties=species:S:1:pos:R:3 pbc="T T T"
Gd 0.000 0.000 0.000
Hg 0.000 0.000 3.985
B 0.000 1.863 1.938
B 0.000 1.863 6.031
B 1.613 0.931 1.938
B 1.613 0.931 6.031
```

=====

Here is GdHgB4 after structural relaxation from OQMD. Energies are from PBE.

Values from the calculation:
The calculated total energy comes out at -5.26 eV/atom. Its space-group type is No. 71. Its spin magnetization is 0.0 μB per formula unit. The energy above the lowest structure with this stoichiometry comes out at 0.000 eV per formula unit.

```
6
Lattice="-1.607 2.664 4.228 1.607 -2.664 4.228 1.607 2.664 -4.228" Properties=species:S:1:pos:R:3 pbc="T T T"
Gd 0.000 0.000 0.000
Hg 0.000 0.000 4.228
B 1.607 -0.972 1.977
B 1.607 0.972 1.977
B 0.000 1.693 2.251
B 0.000 3.636 2.251
```

=====

Here is GdHoB after structural relaxation from OQMD. Energies are from PBE.

Values from the calculation:
The calculated total energy comes out at -5.22 eV/atom. Its space-group type is No. 216. Its spin magnetization is 0.0 μB per formula unit. The energy above the lowest structure with this stoichiometry comes out at 0.000 eV per formula unit.

```
3
Lattice="0.000 3.206 3.206 3.206 0.000 3.206 3.206 3.206 0.000" Properties=species:S:1:pos:R:3 pbc="T T T"
Gd 0.000 0.000 0.000
Ho 3.206 3.206 3.206
B 1.603 1.603 1.603
```

=====

Here is GdHoB4 after structural relaxation from OQMD. Energies are from PBE.

Values from the calculation:
The calculated total energy comes out at -6.53 eV/atom. Its space-group type is No. 191. Its spin magnetization is 0.0 μB per formula unit. The energy above the lowest structure with this stoichiometry comes out at 0.000 eV per formula unit.

```
6
Lattice="3.298 0.000 0.000 -1.649 2.856 0.000 0.000 0.000 7.763" Properties=species:S:1:pos:R:3 pbc="T T T"
Gd 0.000 0.000 0.000
Ho 0.000 0.000 3.881
B 0.000 1.904 1.974
B 0.000 1.904 5.788
B 1.649 0.952 1.974
B 1.649 0.952 5.788
```

=====

Here is GdHoB4 after structural relaxation from OQMD. Energies are from PBE.

Values from the calculation:
The calculated total energy comes out at -6.53 eV/atom. Its space-group type is No. 71. Its spin magnetization is 0.0 μB per formula unit. The energy above the lowest structure with this stoichiometry comes out at 0.018 eV per formula unit.

```
6
Lattice="-1.649 2.856 3.882 1.649 -2.856 3.882 1.649 2.856 -3.882" Properties=species:S:1:pos:R:3 pbc="T T T"
Gd 0.000 0.000 0.000
Ho 0.000 0.000 3.882
B 1.649 -0.952 1.945
B 1.649 0.952 1.945
B 0.000 1.905 1.937
B 0.000 3.808 1.937
```